The following is a DFT calculation (PBE) of a relaxed structure of Ba2AlGa2.

a = 6.546 Å, b = 6.721 Å, c = 8.382 Å
α = 100.50°, β = 90.00°, γ = 119.14°
Sites, in units of the cell vectors:
Ba 0.232 0.685 0.833
Al 0.897 0.000 0.750
Ba 0.453 0.685 0.333
Al 0.103 0.000 0.250
Ba 0.547 0.315 0.667
Ba 0.768 0.315 0.167
Ga 0.774 0.795 0.000
Ga 0.979 0.205 0.500
Ga 0.226 0.205 0.000
Ga 0.021 0.795 0.500

## Properties
**Formation energy from the elements**: -0.325 eV per atom
**Mass density**: 4.650 g cm⁻³
**SG**: C2/c, No. 15
**Energy above the lowest structure with this stoichiometry**: 20 meV/atom

***

The following is a DFT calculation (PBE) of a relaxed structure of Ba2AlGa2.

a = 7.411 Å, b = 7.411 Å, c = 5.432 Å
α = 90.00°, β = 90.00°, γ = 90.00°
Sites, in units of the cell vectors:
Ba 0.686 0.814 0.500
Ba 0.186 0.686 0.500
Ga 0.874 0.626 0.000
Al 0.000 0.000 0.000
Ba 0.814 0.314 0.500
Ga 0.126 0.374 0.000
Ga 0.374 0.874 0.000
Al 0.500 0.500 0.000
Ba 0.314 0.186 0.500
Ga 0.626 0.126 0.000

## Properties
**Formation energy from the elements**: -0.212 eV per atom
**Mass density**: 4.910 g cm⁻³
**SG**: P4/mbm, No. 127
**Energy above the lowest structure with this stoichiometry**: 132 meV/atom

***

The following is a DFT calculation (PBE) of a relaxed structure of BaAl2Ga5.

a = 4.783 Å, b = 6.754 Å, c = 6.754 Å
α = 63.77°, β = 69.26°, γ = 69.26°
Sites, in units of the cell vectors:
Ga 0.634 0.182 0.549
Ba 0.000 0.000 0.000
Ga 0.366 0.451 0.818
Al 0.238 0.262 0.262
Ga 0.634 0.549 0.182
Al 0.762 0.738 0.738
Ga 0.366 0.818 0.451
Ga 0.000 0.500 0.500

## Properties
**Formation energy from the elements**: -0.170 eV per atom
**Mass density**: 5.040 g cm⁻³
**SG**: Immm, No. 71

***

The following is a DFT calculation (PBE) of a relaxed structure of Ba2Al7Ga.

a = 4.569 Å, b = 4.569 Å, c = 11.348 Å
α = 90.00°, β = 90.00°, γ = 90.00°
Sites, in units of the cell vectors:
Al 0.000 0.500 0.632
Al 0.500 0.500 0.500
Al 0.500 0.000 0.368
Al 0.000 0.000 0.000
Ga 0.500 0.500 0.000
Al 0.000 0.500 0.871
Al 0.000 0.000 0.500
Ba 0.500 0.000 0.751
Ba 0.000 0.500 0.249
Al 0.500 0.000 0.129

## Properties
**Formation energy from the elements**: -0.265 eV per atom
**Mass density**: 3.738 g cm⁻³
**SG**: P-4m2, No. 115

***

The following is a DFT calculation (PBE) of a relaxed structure of Ba2AlGa7.

a = 4.569 Å, b = 4.569 Å, c = 11.056 Å
α = 90.00°, β = 90.00°, γ = 90.00°
Sites, in units of the cell vectors:
Ga 0.000 0.000 0.500
Ga 0.000 0.500 0.870
Ga 0.500 0.000 0.371
Ga 0.500 0.500 0.500
Ga 0.500 0.000 0.130
Al 0.500 0.500 0.000
Ba 0.500 0.000 0.748
Ga 0.000 0.500 0.629
Ga 0.000 0.000 0.000
Ba 0.000 0.500 0.252

## Properties
**Formation energy from the elements**: -0.421 eV per atom
**Mass density**: 5.682 g cm⁻³
**SG**: P-4m2, No. 115

***

The following is a DFT calculation (PBE) of a relaxed structure of BaAl3Ga4.

a = 4.760 Å, b = 4.760 Å, c = 7.816 Å
α = 90.00°, β = 90.00°, γ = 90.00°
Sites, in units of the cell vectors:
Ga 0.000 0.500 0.830
Al 0.500 0.500 0.328
Al 0.000 0.000 0.000
Ga 0.500 0.000 0.170
Ga 0.500 0.000 0.830
Al 0.500 0.500 0.672
Ga 0.000 0.500 0.170
Ba 0.000 0.000 0.500

## Properties
**Formation energy from the elements**: -0.216 eV per atom
**Mass density**: 4.661 g cm⁻³
**SG**: P4/mmm, No. 123

***

The following is a DFT calculation (PBE) of a relaxed structure of Ba2AlGa3.

a = 6.203 Å, b = 6.203 Å, c = 7.903 Å
α = 50.81°, β = 50.81°, γ = 47.05°
Sites, in units of the cell vectors:
Ba 0.251 0.251 0.191
Ga 0.574 0.574 0.584
Al 0.424 0.424 0.417
Ba 0.748 0.748 0.809
Ga 0.926 0.926 0.236
Ga 0.076 0.076 0.764

## Properties
**Formation energy from the elements**: -0.400 eV per atom
**Mass density**: 5.260 g cm⁻³
**SG**: Cm, No. 8
**Energy above the lowest structure with this stoichiometry**: 13 meV/atom

***

The following is a DFT calculation (PBE) of a relaxed structure of Ba2AlGa4Ge3.

a = 4.593 Å, b = 4.593 Å, c = 11.326 Å
α = 90.00°, β = 90.00°, γ = 90.00°
Sites, in units of the cell vectors:
Ga 0.000 0.500 0.374
Ga 0.500 0.500 0.000
Ga 0.000 0.000 0.000
Ba 0.500 0.000 0.250
Ge 0.000 0.500 0.125
Ge 0.500 0.000 0.875
Al 0.500 0.500 0.500
Ba 0.000 0.500 0.750
Ge 0.000 0.000 0.500
Ga 0.500 0.000 0.626

## Properties
**Formation energy from the elements**: -0.343 eV per atom
**Mass density**: 5.550 g cm⁻³
**SG**: P-4m2, No. 115

***

The following is a DFT calculation (PBE) of a relaxed structure of Ba2Al4GaGe3.

a = 4.777 Å, b = 4.777 Å, c = 10.291 Å
α = 90.00°, β = 90.00°, γ = 90.00°
Sites, in units of the cell vectors:
Ba 0.000 0.500 0.745
Al 0.500 0.500 0.000
Al 0.500 0.000 0.620
Ga 0.500 0.500 0.500
Ge 0.000 0.500 0.121
Ba 0.500 0.000 0.255
Al 0.000 0.500 0.380
Al 0.000 0.000 0.000
Ge 0.500 0.000 0.879
Ge 0.000 0.000 0.500

## Properties
**Formation energy from the elements**: -0.326 eV per atom
**Mass density**: 4.740 g cm⁻³
**SG**: P-4m2, No. 115

***

The following is a DFT calculation (PBE) of a relaxed structure of Ba2Al4Ga3Ge.

a = 4.615 Å, b = 4.615 Å, c = 10.899 Å
α = 90.00°, β = 90.00°, γ = 90.00°
Sites, in units of the cell vectors:
Ga 0.500 0.000 0.869
Al 0.500 0.000 0.624
Ga 0.000 0.500 0.131
Ge 0.500 0.500 0.500
Ga 0.000 0.000 0.500
Al 0.000 0.000 0.000
Ba 0.000 0.500 0.747
Al 0.000 0.500 0.376
Al 0.500 0.500 0.000
Ba 0.500 0.000 0.253

## Properties
**Formation energy from the elements**: -0.351 eV per atom
**Mass density**: 4.752 g cm⁻³
**SG**: P-4m2, No. 115

***

The following is a DFT calculation (PBE) of a relaxed structure of BaAlGaH.

a = 4.642 Å, b = 4.642 Å, c = 4.725 Å
α = 90.01°, β = 90.00°, γ = 120.00°
Sites, in units of the cell vectors:
Ba 0.905 0.810 0.780
H 0.238 0.477 0.897
Al 0.239 0.477 0.263
Ga 0.572 0.144 0.298

## Properties
**Energy**: -3.348 eV per atom
**Mass density**: 4.426 g cm⁻³
**SG**: P3m1, No. 156

***

The following is a DFT calculation (PBE) of a relaxed structure of BaAlGaH2.

a = 4.492 Å, b = 6.621 Å, c = 6.070 Å
α = 90.00°, β = 90.00°, γ = 109.83°
Sites, in units of the cell vectors:
Ga 0.568 0.137 0.250
Al 0.000 0.000 0.500
Ba 0.701 0.402 0.750
H 0.141 0.282 0.950
H 0.859 0.718 0.050
H 0.141 0.282 0.550
Al 0.000 0.000 0.000
Ga 0.432 0.863 0.750
Ba 0.299 0.598 0.250
H 0.859 0.718 0.450

## Properties
**Energy**: -3.334 eV per atom
**Mass density**: 4.615 g cm⁻³
**SG**: Cmcm, No. 63